1.
NbGaNi | PBE | optimized geometry

abc: 2.7509 7.1161 2.7509
angles: 78.86 90.00 101.14
Last column: nearest neighbours and their distance in Å.
Sites, in units of the cell vectors:
Ga (0.0597, 0.1195, 0.9403)  1 Ni 2.34
Ni (0.2303, 0.4606, 0.7697)  1 Ga 2.34
Nb (0.8600, 0.7199, 0.1400)  4 Ni 2.63, 1 Ga 2.73, 4 Nb 2.75

Formation enthalpy at 0 K = 252 meV per atom
Calculated volume = 17.27 A^3/atom


2.
LiYMg2Fe | PBE | optimized geometry

abc: 5.0455 4.8173 5.0455
angles: 90.00 90.00 90.00
Last column: nearest neighbours and their distance in Å.
Sites, in units of the cell vectors:
Y (0.0000, 0.5000, 0.0000)  2 Fe 2.41
Mg (0.0000, 0.0000, 0.5000)  2 Fe 2.52
Mg (0.5000, 0.0000, 0.0000)  2 Fe 2.52
Fe (0.0000, 0.0000, 0.0000)  2 Y 2.41, 4 Mg 2.52
Li (0.5000, 0.5000, 0.5000)  8 Mg 3.49, 4 Y 3.57

Formation enthalpy at 0 K = 266 meV per atom
Calculated volume = 24.53 A^3/atom


3.
KCoPt2 | PBE | optimized geometry

abc: 5.0635 5.0635 5.0635
angles: 131.82 131.82 70.51
Last column: nearest neighbours and their distance in Å.
Sites, in units of the cell vectors:
Co (0.2500, 0.7500, 0.5000)  4 K 2.92, 8 Pt 2.92
K (0.7500, 0.2500, 0.5000)  4 Co 2.92, 8 Pt 2.92
Pt (0.0000, 0.0000, 0.0000)  4 Pt 2.92, 4 Co 2.92, 4 K 2.92
Pt (0.5000, 0.5000, 0.0000)  4 Pt 2.92, 4 Co 2.92, 4 K 2.92

Formation enthalpy at 0 K = 680 meV per atom
Polymorph energy (0 for the lowest one) = 575 meV/atom
Calculated volume = 17.66 A^3/atom


4.
DyNiBi | PBE | optimized geometry

abc: 4.1306 4.3895 4.3895
angles: 120.00 90.00 90.00
Last column: nearest neighbours and their distance in Å.
Sites, in units of the cell vectors:
Ni (0.2379, 0.6667, 0.3333)  3 Bi 2.57
Bi (0.1298, 0.0000, 0.0000)  3 Ni 2.57
Dy (0.6323, 0.3333, 0.6667)  3 Ni 3.01, 6 Bi 3.26-3.28

Formation enthalpy at 0 K = -479 meV per atom
Calculated volume = 22.97 A^3/atom


5.
Tb3AlP2Pt9 | PBE | optimized geometry

abc: 6.3418 6.3418 8.7729
angles: 90.00 90.00 120.00
Last column: nearest neighbours and their distance in Å.
Sites, in units of the cell vectors:
Tb (0.3333, 0.6667, 0.7097)  9 Pt 3.14-3.18
Tb (0.0000, 0.0000, 0.0000)  12 Pt 2.91-3.17
Tb (0.6667, 0.3333, 0.2903)  9 Pt 3.14-3.18
Al (0.0000, 0.0000, 0.5000)  6 Pt 2.51
P (0.3333, 0.6667, 0.1833)  6 Pt 2.24-2.44
P (0.6667, 0.3333, 0.8167)  6 Pt 2.24-2.44
Pt (0.8556, 0.1444, 0.7217)  1 P 2.24
Pt (0.8556, 0.7112, 0.7217)  1 P 2.24
Pt (0.2888, 0.1444, 0.7217)  1 P 2.24
Pt (0.7112, 0.8556, 0.2783)  1 P 2.24
Pt (0.1444, 0.2888, 0.2783)  1 P 2.24
Pt (0.1444, 0.8556, 0.2783)  1 P 2.24
Pt (0.5000, 0.0000, 0.0000)  2 P 2.44
Pt (0.0000, 0.5000, 0.0000)  2 P 2.44
Pt (0.5000, 0.5000, 0.0000)  2 P 2.44

Formation enthalpy at 0 K = -778 meV per atom
Calculated volume = 20.37 A^3/atom


6.
CuB3S | PBE | optimized geometry

abc: 3.7910 3.7910 3.7910
angles: 90.00 90.00 90.00
Last column: nearest neighbours and their distance in Å.
Sites, in units of the cell vectors:
S (0.0000, 0.0000, 0.0000)  6 B 1.90
B (0.0000, 0.5000, 0.0000)  2 S 1.90
B (0.0000, 0.0000, 0.5000)  2 S 1.90
B (0.5000, 0.0000, 0.0000)  2 S 1.90
Cu (0.5000, 0.5000, 0.5000)  12 B 2.68

Uncorrected formation energy = 1.731 eV per atom
Polymorph energy (0 for the lowest one) = 87 meV/atom
Calculated volume = 10.90 A^3/atom


7.
Pr2PdO | PBE | optimized geometry

abc: 5.9978 6.1595 10.3732
angles: 95.07 90.00 90.00
Last column: nearest neighbours and their distance in Å.
Sites, in units of the cell vectors:
Pr (0.7578, 0.9492, 0.9064)  2 O 2.38-2.40
Pr (0.2422, 0.0508, 0.0936)  2 O 2.38-2.40
Pr (0.7578, 0.5508, 0.5936)  2 O 2.38-2.40
Pr (0.2422, 0.4492, 0.4064)  2 O 2.38-2.40
Pr (0.7826, 0.4692, 0.1458)  2 O 2.36-2.49
Pr (0.2174, 0.5308, 0.8542)  2 O 2.36-2.49
Pr (0.7826, 0.0308, 0.3542)  2 O 2.36-2.49
Pr (0.2174, 0.9692, 0.6458)  2 O 2.36-2.49
Pd (0.2918, 0.9347, 0.3578)  6 Pr 2.91-3.18, 1 Pd 3.05
Pd (0.7082, 0.0653, 0.6422)  6 Pr 2.91-3.18, 1 Pd 3.05
Pd (0.2918, 0.5653, 0.1422)  6 Pr 2.91-3.18, 1 Pd 3.05
Pd (0.7082, 0.4347, 0.8578)  6 Pr 2.91-3.18, 1 Pd 3.05
O (0.1490, 0.5909, 0.6230)  4 Pr 2.36-2.49
O (0.8510, 0.4091, 0.3770)  4 Pr 2.36-2.49
O (0.1490, 0.9091, 0.8770)  4 Pr 2.36-2.49
O (0.8510, 0.0909, 0.1230)  4 Pr 2.36-2.49

Uncorrected formation energy = -1.583 eV per atom
Polymorph energy (0 for the lowest one) = 0 meV/atom
Calculated volume = 23.86 A^3/atom


8.
TcBAsBr2 | PBE | optimized geometry

abc: 4.4735 4.4735 4.4126
angles: 90.00 90.00 90.00
Last column: nearest neighbours and their distance in Å.
Sites, in units of the cell vectors:
As (0.0000, 0.0000, 0.5000)  2 B 2.21
B (0.0000, 0.0000, 0.0000)  2 As 2.21, 4 Br 2.24
Tc (0.5000, 0.5000, 0.5000)  8 Br 3.14, 4 As 3.16
Br (0.0000, 0.5000, 0.0000)  2 B 2.24
Br (0.5000, 0.0000, 0.0000)  2 B 2.24

Uncorrected formation energy = 1.381 eV per atom
Polymorph energy (0 for the lowest one) = 171 meV/atom
Calculated volume = 17.66 A^3/atom


9.
KCuHg2Au | PBE | optimized geometry

abc: 5.4412 5.4412 5.0847
angles: 90.00 90.00 90.00
Last column: nearest neighbours and their distance in Å.
Sites, in units of the cell vectors:
K (0.5000, 0.5000, 0.5000)  8 Hg 3.72, 4 Cu 3.85
Au (0.0000, 0.0000, 0.0000)  2 Cu 2.54, 4 Hg 2.72
Hg (0.0000, 0.5000, 0.0000)  2 Au 2.72
Hg (0.5000, 0.0000, 0.0000)  2 Au 2.72
Cu (0.0000, 0.0000, 0.5000)  2 Au 2.54

Formation enthalpy at 0 K = 25 meV per atom
Polymorph energy (0 for the lowest one) = 107 meV/atom
Calculated volume = 30.11 A^3/atom


10.
TaTeN2 | PBE | optimized geometry

abc: 5.6021 5.6021 6.0946
angles: 62.64 62.64 90.00
Last column: nearest neighbours and their distance in Å.
Sites, in units of the cell vectors:
N (0.7514, 0.1250, 0.2500)  2 Ta 1.94
N (0.9986, 0.6250, 0.2500)  2 Ta 1.94
N (0.3750, 0.2486, 0.7500)  2 Ta 1.94
N (0.8750, 0.0014, 0.7500)  2 Ta 1.94
Te (0.5000, 0.5000, 0.0000)  4 N 2.78
Te (0.2500, 0.7500, 0.5000)  4 N 2.78
Ta (0.0000, 0.0000, 0.0000)  4 N 1.94
Ta (0.7500, 0.2500, 0.5000)  4 N 1.94

Uncorrected formation energy = 0.003 eV per atom
Calculated volume = 18.17 A^3/atom


11.
Ag3HgPd | PBE | optimized geometry

abc: 4.7598 7.5202 5.5295
angles: 90.00 89.72 90.00
Last column: nearest neighbours and their distance in Å.
Sites, in units of the cell vectors:
Ag (0.1750, 0.9328, 0.7851)  4 Ag 2.75-3.07, 3 Pd 2.77-3.01, 1 Hg 3.01
Ag (0.8250, 0.0672, 0.2149)  4 Ag 2.75-3.07, 3 Pd 2.77-3.01, 1 Hg 3.01
Ag (0.1750, 0.5672, 0.7851)  4 Ag 2.75-3.07, 3 Pd 2.77-3.01, 1 Hg 3.01
Ag (0.8250, 0.4328, 0.2149)  4 Ag 2.75-3.07, 3 Pd 2.77-3.01, 1 Hg 3.01
Ag (0.1752, 0.7500, 0.2583)  2 Pd 2.74-2.80, 2 Hg 2.77-2.80, 4 Ag 2.92-2.96
Ag (0.8248, 0.2500, 0.7417)  2 Pd 2.74-2.80, 2 Hg 2.77-2.80, 4 Ag 2.92-2.96
Hg (0.6692, 0.7500, 0.5196)  2 Pd 2.66-2.87, 2 Ag 2.77-2.80
Hg (0.3308, 0.2500, 0.4804)  2 Pd 2.66-2.87, 2 Ag 2.77-2.80
Pd (0.6696, 0.7500, 0.0009)  2 Hg 2.66-2.87, 6 Ag 2.74-2.98
Pd (0.3304, 0.2500, 0.9991)  2 Hg 2.66-2.87, 6 Ag 2.74-2.98

Formation enthalpy at 0 K = 78 meV per atom
Polymorph energy (0 for the lowest one) = 106 meV/atom
Calculated volume = 19.79 A^3/atom